Below is a relaxed Pm3Zn7Pd4 crystal, with properties calculated at the PBE level.

Values from the calculation:
calculated formation energy = -8.15 eV per formula unit
uncorrected energy = -3.721 eV per atom

Cell: 4.406 8.070 8.399 Å, 69.11 74.79 74.16°
Sites, in units of the cell vectors:
Pm (0.301, 0.194, 0.203)
Pm (0.699, 0.806, 0.797)
Pm (0.000, 0.500, 0.500)
Zn (0.327, 0.826, 0.520)
Zn (0.497, 0.204, 0.801)
Zn (0.863, 0.359, 0.916)
Zn (0.673, 0.174, 0.480)
Zn (0.137, 0.641, 0.084)
Zn (0.000, 0.000, 0.000)
Zn (0.503, 0.796, 0.199)
Pd (0.666, 0.462, 0.207)
Pd (0.334, 0.538, 0.793)
Pd (0.882, 0.900, 0.336)
Pd (0.118, 0.100, 0.664)